# 1
KSrCdPd2 | PBE-GGA | optimized geometry

## Properties
The formation energy is 18.69 kcal/mol of atoms.

abc: 5.184 5.184 5.862
angles: 90.00 90.00 90.00
Space group P4/mmm (No. 123)
Symmetry-distinct sites (fractional):
1 K 0.000 0.000 0.000
2 Sr 0.000 0.000 0.500
3 Cd 0.500 0.500 0.500
4 Pd 0.000 0.500 0.000



# 2
NbTlCu3 | PBE-GGA | optimized geometry

## Properties
The formation energy is 28.12 kcal/mol of atoms.

abc: 4.902 4.902 4.902
angles: 90.00 90.00 90.00
Space group Pm-3m (No. 221)
Symmetry-distinct sites (fractional):
1 Nb 0.000 0.000 0.000
2 Tl 0.500 0.500 0.500
3 Cu 0.000 0.000 0.500



# 3
VPbSe2 | PBE-GGA | optimized geometry

## Properties
As for the raw formation energy: -0.502 eV per atom.

abc: 3.3728 3.3728 27.1968
angles: 90.00 90.00 120.00
Space group R-3m (No. 166, hexagonal axes)
Symmetry-distinct sites (fractional):
1 V 0.0000 0.0000 0.0000
2 Pb 0.0000 0.0000 0.5000
3 Se 0.0000 0.0000 0.2753



# 4
TiV4Fe | PBE-GGA | optimized geometry

## Properties
The formation energy is 5.84 kcal/mol of atoms.

abc: 5.213 5.246 6.265
angles: 90.00 90.00 90.00
Space group P222 (No. 16)
Symmetry-distinct sites (fractional):
1 Ti 0.000 0.000 0.000
2 Ti 0.500 0.500 0.000
3 V 0.167 0.326 0.700
4 V 0.297 0.146 0.328
5 Fe 0.500 0.000 0.000
6 Fe 0.500 0.500 0.500



no.,magnetization (μB per formula unit),E_tot (eV/atom)
1,0.00,-2.005
2,0.00,-3.726
3,0.49,-5.451
4,0.00,-8.552